No. 1
Computed, not measured: an optimized crystal structure of Pr2MnNi4Ge3 at the GGA-PBE level of DFT.

a b c (Å): 4.1687 4.1687 9.7550
angles (deg): 90.00 90.00 90.00
Space group P-4m2 (No. 115)
Unique sites:
Pr1 0.0000 0.5000 0.2480
Mn1 0.0000 0.0000 0.5000
Ni1 0.0000 0.0000 0.0000
Ni2 0.0000 0.5000 0.6310
Ni3 0.5000 0.5000 0.0000
Ge1 0.0000 0.5000 0.8756
Ge2 0.5000 0.5000 0.5000

The size of the total moment comes out at 3.6 μB per formula unit. Its density of states at the Fermi level is 0.74 states/eV/atom. As for the formation energy: -0.556 eV/atom.


No. 2
Computed, not measured: an optimized crystal structure of Y2InPb at the GGA-PBE level of DFT.

a b c (Å): 6.2037 4.3528 8.9873
angles (deg): 90.00 108.13 90.00
Space group P2_1/m (No. 11)
Unique sites:
Y1 0.1984 0.2500 0.4327
Y2 0.2945 0.7500 0.0669
In1 0.1131 0.2500 0.7958
Pb1 0.3889 0.7500 0.7046

The size of the total moment comes out at 0.0 μB per formula unit. Its density of states at the Fermi level is 0.83 states/eV/atom. As for the formation energy: -0.513 eV/atom.


No. 3
Computed, not measured: an optimized crystal structure of IrRhN2F at the GGA-PBE level of DFT.

a b c (Å): 3.7866 3.7866 4.5793
angles (deg): 90.00 90.00 90.00
Space group P4/mmm (No. 123)
Unique sites:
Ir1 0.0000 0.0000 0.0000
Rh1 0.5000 0.5000 0.5000
N1 0.0000 0.5000 0.0000
F1 0.0000 0.0000 0.5000

The size of the total moment comes out at 2.3 μB per formula unit. Its density of states at the Fermi level is 0.76 states/eV/atom. The uncorrected formation energy comes out at 4.8 eV per formula unit.


No. 4
Computed, not measured: an optimized crystal structure of Sm2CdHg at the GGA-PBE level of DFT.

a b c (Å): 7.6044 7.6044 7.6044
angles (deg): 90.00 90.00 90.00
Space group Fm-3m (No. 225)
Unique sites:
Sm1 0.2500 0.2500 0.2500
Cd1 0.0000 0.0000 0.0000
Hg1 0.0000 0.0000 0.5000

The size of the total moment comes out at 0.9 μB per formula unit. Its density of states at the Fermi level is 1.05 states/eV/atom. As for the formation energy: -0.392 eV/atom.


No. 5
Computed, not measured: an optimized crystal structure of Sr3Al2Sb4 at the GGA-PBE level of DFT.

a b c (Å): 15.8588 9.5001 8.0675
angles (deg): 90.00 99.42 90.00
Space group C2/c (No. 15)
Unique sites:
Sr1 0.0000 0.0363 0.2500
Sr2 0.1390 0.4185 0.3518
Al1 0.1860 0.1587 0.9820
Sb1 0.0271 0.2817 0.9391
Sb2 0.2100 0.0848 0.3165

The size of the total moment comes out at 0.0 μB per formula unit. Its density of states at the Fermi level is 0.28 states/eV/atom. The uncorrected formation energy comes out at -5.4 eV per formula unit.


No. 6
Computed, not measured: an optimized crystal structure of PuPa2O8 at the GGA-PBE level of DFT.

a b c (Å): 3.6119 6.3364 9.3909
angles (deg): 80.69 79.55 89.90
Space group P-1 (No. 2)
Unique sites:
Pu1 0.0000 0.0000 0.0000
Pa1 0.2251 0.2452 0.5513
O1 0.1122 0.1282 0.7779
O2 0.2257 0.8655 0.5540
O3 0.2983 0.5608 0.3961
O4 0.3714 0.1798 0.0331

The size of the total moment comes out at 2.0 μB per formula unit. Its density of states at the Fermi level is 0.47 states/eV/atom. The uncorrected formation energy comes out at -34.0 eV per formula unit.